Below is a PBEsol-optimized structure of AlCdMo3, with properties calculated at the SCAN level.

The structure in CIF format:
```
data_AlCdMo3
_chemical_formula_sum 'Al1 Cd1 Mo3'
_cell_length_a 4.7756
_cell_length_b 4.7756
_cell_length_c 4.7756
_cell_angle_alpha 90.00
_cell_angle_beta 90.00
_cell_angle_gamma 90.00
_space_group_name_H-M_alt 'P m -3 m'
_space_group_IT_number 221
_space_group_name_Hall '-P 4 2 3'
loop_
_atom_site_label
_atom_site_type_symbol
_atom_site_fract_x
_atom_site_fract_y
_atom_site_fract_z
Al1 Al 0.0000 0.0000 0.0000
Cd1 Cd 0.5000 0.5000 0.5000
Mo1 Mo 0.0000 0.5000 0.5000
```

DFT total energy = -130.0 eV/cell
V = 108.9 Å³/cell
Total moment = 0.00 μB per cell